Entry 1:
9
Lattice="3.861 0.000 0.000 0.000 6.744 3.889 0.000 -6.744 3.889" Properties=species:S:1:pos:R:3 comment="DyEr2IrPd2Pb3, optimized geometry, DFT PBE" vol_a3_per_atom=22.50 total_energy_ev_per_atom=-5.56 pbc="T T T"
Dy 0.000 0.000 0.000
Er 0.000 -2.670 4.624
Er 0.000 2.670 4.624
Ir 0.000 0.000 3.094
Pd 1.930 -4.484 3.081
Pd 1.930 4.484 3.081
Pb 1.930 -1.794 2.051
Pb 1.930 1.794 2.051
Pb 1.930 0.000 5.154

---

Entry 2:
9
Lattice="3.870 0.000 0.000 0.000 6.744 3.899 0.000 -6.744 3.899" Properties=species:S:1:pos:R:3 comment="Dy2ErIrPd2Pb3, optimized geometry, DFT PBE" vol_a3_per_atom=22.61 total_energy_ev_per_atom=-5.57 pbc="T T T"
Dy 0.000 -4.073 3.899
Dy 0.000 4.073 3.899
Er 0.000 0.000 3.170
Ir 0.000 0.000 6.243
Pd 1.935 -2.235 2.358
Pd 1.935 2.235 2.358
Pb 1.935 0.000 0.528
Pb 1.935 -1.794 5.215
Pb 1.935 1.794 5.215

---

Entry 3:
9
Lattice="3.819 0.000 0.000 0.000 6.582 3.796 0.000 -6.582 3.796" Properties=species:S:1:pos:R:3 comment="DyEr2Sn3Ir2Pd, optimized geometry, DFT PBE" vol_a3_per_atom=21.21 total_energy_ev_per_atom=-6.27 pbc="T T T"
Dy 0.000 0.000 0.000
Er 0.000 -2.683 2.954
Er 0.000 2.683 2.954
Sn 1.909 0.000 2.476
Sn 1.909 -1.756 5.510
Sn 1.909 1.756 5.510
Ir 1.909 -4.376 4.503
Ir 1.909 4.376 4.503
Pd 0.000 0.000 4.490

---

Entry 4:
9
Lattice="3.833 0.000 0.000 0.000 6.582 3.805 0.000 -6.582 3.805" Properties=species:S:1:pos:R:3 comment="Dy2ErSn3Ir2Pd, optimized geometry, DFT PBE" vol_a3_per_atom=21.33 total_energy_ev_per_atom=-6.28 pbc="T T T"
Dy 0.000 -3.906 3.805
Dy 0.000 3.906 3.805
Er 0.000 0.000 2.967
Sn 1.917 0.000 0.484
Sn 1.917 -1.755 5.045
Sn 1.917 1.755 5.045
Ir 1.917 -2.182 2.261
Ir 1.917 2.182 2.261
Pd 0.000 0.000 6.055

---

Entry 5:
9
Lattice="3.859 0.000 0.000 0.000 6.597 3.812 0.000 -6.597 3.812" Properties=species:S:1:pos:R:3 comment="Dy2ErSn3IrPd2, optimized geometry, DFT PBE" vol_a3_per_atom=21.57 total_energy_ev_per_atom=-5.92 pbc="T T T"
Dy 0.000 -3.959 3.812
Dy 0.000 3.959 3.812
Er 0.000 0.000 3.058
Sn 1.930 0.000 0.460
Sn 1.930 -1.717 5.105
Sn 1.930 1.717 5.105
Ir 0.000 0.000 6.091
Pd 1.930 -2.185 2.292
Pd 1.930 2.185 2.292

---

Entry 6:
11
Lattice="-1.935 7.421 4.505 1.935 -7.421 4.505 1.935 7.421 -4.505" Properties=species:S:1:pos:R:3 comment="Dy3Er4Ir2S2, optimized geometry, DFT PBE" vol_a3_per_atom=23.53 total_energy_ev_per_atom=-6.38 pbc="T T T"
Dy 0.000 0.000 0.000
Dy 1.935 -2.041 2.276
Dy 1.935 2.041 2.276
Er 1.935 2.679 -1.100
Er 1.935 5.645 0.831
Er 0.000 4.742 3.405
Er 0.000 1.776 5.336
Ir 0.000 3.588 0.681
Ir 0.000 11.253 0.681
S 0.000 0.000 3.103
S 0.000 7.421 2.241

---

Entry 7:
11
Lattice="-1.928 7.394 4.504 1.928 -7.394 4.504 1.928 7.394 -4.504" Properties=species:S:1:pos:R:3 comment="DyEr6Ir2S2, optimized geometry, DFT PBE" vol_a3_per_atom=23.35 total_energy_ev_per_atom=-6.37 pbc="T T T"
Dy 0.000 0.000 0.000
Er 1.928 2.677 -1.113
Er 1.928 -2.028 2.256
Er 1.928 2.028 2.256
Er 1.928 5.625 0.815
Er 0.000 4.717 3.391
Er 0.000 1.768 5.320
Ir 0.000 3.559 0.685
Ir 0.000 11.229 0.685
S 0.000 0.000 3.083
S 0.000 7.394 2.231

---

Entry 8:
11
Lattice="-1.935 7.541 4.577 1.935 -7.541 4.577 1.935 7.541 -4.577" Properties=species:S:1:pos:R:3 comment="DyEr6Ir2Se2, optimized geometry, DFT PBE" vol_a3_per_atom=24.28 total_energy_ev_per_atom=-6.22 pbc="T T T"
Dy 0.000 0.000 0.000
Er 1.935 2.754 -1.157
Er 1.935 -2.130 2.208
Er 1.935 2.130 2.208
Er 1.935 5.666 0.785
Er 0.000 4.787 3.420
Er 0.000 1.875 5.362
Ir 0.000 3.611 0.673
Ir 0.000 11.470 0.673
Se 0.000 0.000 3.103
Se 0.000 7.541 2.211

---

Entry 9:
10
Lattice="5.188 -2.117 0.000 5.188 2.117 0.000 -4.659 0.000 8.957" Properties=species:S:1:pos:R:3 comment="DyErSi2Ir, optimized geometry, DFT PBE" vol_a3_per_atom=19.68 total_energy_ev_per_atom=-6.74 pbc="T T T"
Dy -1.474 0.000 2.923
Dy 7.191 0.000 6.034
Er 1.439 0.000 1.016
Er 4.278 0.000 7.941
Si 1.593 0.000 3.983
Si 4.516 0.000 1.028
Si 1.201 0.000 7.929
Si 4.124 0.000 4.974
Ir -0.247 0.000 5.895
Ir 5.963 0.000 3.062

---

Entry 10:
10
Lattice="5.448 -2.238 0.000 5.448 2.238 0.000 -4.787 0.000 9.834" Properties=species:S:1:pos:R:3 comment="DyErSn2Ir, optimized geometry, DFT PBE" vol_a3_per_atom=23.97 total_energy_ev_per_atom=-5.99 pbc="T T T"
Dy -0.788 0.000 1.705
Dy 6.895 0.000 8.129
Er -0.997 0.000 6.199
Er 7.105 0.000 3.635
Sn -0.804 0.000 9.372
Sn 2.135 0.000 6.039
Sn 3.973 0.000 3.795
Sn 6.912 0.000 0.462
Ir 2.181 0.000 1.743
Ir 3.926 0.000 8.091

---

Entry 11:
8
Lattice="4.832 0.000 0.000 0.000 4.832 0.000 0.000 0.000 6.835" Properties=species:S:1:pos:R:3 comment="TbDy2ErIr4, optimized geometry, DFT PBE" vol_a3_per_atom=19.95 total_energy_ev_per_atom=-7.55 delta_e_f_mev_per_atom=-826 pbc="T T T"
Tb 0.000 0.000 0.000
Dy 0.000 0.000 3.417
Dy 2.416 2.416 0.000
Er 2.416 2.416 3.417
Ir 0.000 2.416 1.716
Ir 0.000 2.416 5.119
Ir 2.416 0.000 1.716
Ir 2.416 0.000 5.119

---

Entry 12:
11
Lattice="-1.958 7.825 4.719 1.958 -7.825 4.719 1.958 7.825 -4.719" Properties=species:S:1:pos:R:3 comment="Dy2Er5Te2Ir2, optimized geometry, DFT PBE" polymorph_energy_ev_per_atom=0.009 vol_a3_per_atom=26.30 total_energy_ev_per_atom=-6.01 pbc="T T T"
Dy 0.000 2.887 0.000
Dy 0.000 12.762 0.000
Er 1.958 0.000 1.209
Er 1.958 5.536 -1.328
Er 0.000 2.289 3.391
Er 0.000 5.763 1.985
Er 0.000 9.886 1.985
Te 1.958 0.000 4.388
Te 0.000 0.000 8.151
Ir 1.958 3.721 1.886
Ir 0.000 4.104 6.606